The following is a PBE-GGA calculation of an optimized crystal structure of NdZr3Al8, from Alexandria. Values from VASP.

Quantum ESPRESSO input file:
```
&SYSTEM
  ibrav = 0, nat = 12, ntyp = 3
/
ATOMIC_SPECIES
Al 26.98 Al.upf
Nd 144.24 Nd.upf
Zr 91.22 Zr.upf
ATOMIC_POSITIONS crystal
Al 0.9419 0.4395 0.1791
Al 0.4395 0.4395 0.1791
Al 0.9365 0.4330 0.6940
Al 0.1868 0.1868 0.4395
Al 0.4395 0.9419 0.1791
Al 0.9365 0.9365 0.6940
Al 0.6879 0.6879 0.9363
Al 0.4330 0.9365 0.6940
Nd 0.8749 0.8749 0.3754
Zr 0.4963 0.4963 0.5112
Zr 0.0013 0.0013 0.9960
Zr 0.3758 0.3758 0.8725
CELL_PARAMETERS angstrom
-0.2761 -0.0340 -5.3995
1.5915 -4.3678 -2.7608
-7.8066 -4.7511 -2.2778
```

Properties
Total moment: 0.0 μB/cell
ΔE_f: -0.49 eV per atom